! CsEr2AuSe4, relaxed, DFT PBE-GGA; values from VASP
! Symmetry   No. 63
! M_tot   0.00 μB/f.u.
! Formation energy from raw total energies   -1.3951 eV per atom
&SYSTEM
  ibrav = 0, nat = 16, ntyp = 4
/
ATOMIC_SPECIES
Cs 132.91 Cs.upf
Se 78.96 Se.upf
Au 196.97 Au.upf
Er 167.26 Er.upf
ATOMIC_POSITIONS angstrom
Cs 0.000 1.831 11.053
Cs 2.096 5.588 3.684
Se 0.000 0.000 7.369
Se 0.000 0.000 0.000
Se 0.000 3.729 1.415
Se 2.096 0.843 3.684
Se 0.000 6.576 11.053
Se 0.000 3.729 5.954
Se 2.096 3.690 13.322
Se 2.096 3.690 8.784
Au 2.096 5.007 11.053
Au 0.000 2.412 3.684
Er 2.096 1.880 6.334
Er 2.096 1.880 1.035
Er 0.000 5.539 8.404
Er 0.000 5.539 13.702
CELL_PARAMETERS angstrom
4.192 0.000 0.000
-2.096 7.419 0.000
0.000 0.000 14.737

! MgTaAs2, relaxed, DFT PBE-GGA; values from VASP
! Symmetry   No. 8
! M_tot   0.00 μB/f.u.
! E   -6.0000 eV/atom
&SYSTEM
  ibrav = 0, nat = 4, ntyp = 3
/
ATOMIC_SPECIES
Mg 24.30 Mg.upf
Ta 180.95 Ta.upf
As 74.92 As.upf
ATOMIC_POSITIONS angstrom
Mg -4.922 4.744 2.236
Ta -3.128 2.394 0.574
As -10.185 7.101 0.923
As -7.138 6.255 2.390
CELL_PARAMETERS angstrom
-4.651 4.859 -0.615
-6.200 2.404 1.185
1.169 1.559 3.133

! Li2RePb, relaxed, DFT PBE-GGA; values from VASP
! Symmetry   No. 166
! M_tot   0.00 μB/f.u.
! E   -4.5478 eV/atom
&SYSTEM
  ibrav = 0, nat = 4, ntyp = 3
/
ATOMIC_SPECIES
Re 186.21 Re.upf
Pb 207.20 Pb.upf
Li 6.94 Li.upf
ATOMIC_POSITIONS angstrom
Re -17.227 -8.459 10.078
Pb -5.742 -2.820 3.359
Li -0.172 -0.084 0.100
Li -11.313 -5.555 6.618
CELL_PARAMETERS angstrom
-8.017 -4.682 3.088
-6.635 -4.401 5.688
-8.318 -2.196 4.661

! TcOsOF2, relaxed, DFT PBE-GGA; values from VASP
! Symmetry   No. 123
! M_tot   3.80 μB/f.u.
! Formation energy from raw total energies   0.2128 eV per atom
! Energy above the lowest structure with this stoichiometry   159.6 meV/atom
&SYSTEM
  ibrav = 0, nat = 5, ntyp = 4
/
ATOMIC_SPECIES
Tc 98.00 Tc.upf
O 16.00 O.upf
F 19.00 F.upf
Os 190.23 Os.upf
ATOMIC_POSITIONS angstrom
Tc 0.000 0.000 0.000
O 0.000 0.000 1.861
F 0.000 2.176 0.000
F 2.176 0.000 0.000
Os 2.176 2.176 1.861
CELL_PARAMETERS angstrom
4.351 0.000 0.000
0.000 4.351 0.000
0.000 0.000 3.723

! LiHo2MgAu4, relaxed, DFT PBE-GGA; values from VASP
! Symmetry   No. 166
! M_tot   0.00 μB/f.u.
! E   -3.9698 eV/atom
&SYSTEM
  ibrav = 0, nat = 8, ntyp = 4
/
ATOMIC_SPECIES
Ho 164.93 Ho.upf
Au 196.97 Au.upf
Li 6.94 Li.upf
Mg 24.30 Mg.upf
ATOMIC_POSITIONS angstrom
Ho -1.324 1.542 2.797
Ho -3.995 4.651 8.288
Au -3.284 3.805 2.708
Au -4.613 5.352 5.484
Au -2.035 2.388 8.377
Au -0.706 0.841 5.602
Li -2.659 3.096 5.543
Mg 0.000 0.000 0.000
CELL_PARAMETERS angstrom
-0.776 4.622 1.326
-4.458 1.434 1.341
-0.085 0.137 8.419

! PrTl2Pd6, relaxed, DFT PBE-GGA; values from VASP
! Symmetry   No. 191
! M_tot   0.00 μB/f.u.
! E   -4.8402 eV/atom
&SYSTEM
  ibrav = 0, nat = 9, ntyp = 3
/
ATOMIC_SPECIES
Pd 106.42 Pd.upf
Tl 204.38 Tl.upf
Pr 140.91 Pr.upf
ATOMIC_POSITIONS angstrom
Pd 1.399 2.422 5.957
Pd 2.799 0.000 5.957
Pd -1.399 2.422 1.360
Pd 2.797 0.000 1.360
Pd -1.399 2.424 5.957
Pd 1.399 2.424 1.360
Tl 0.000 3.231 3.659
Tl 2.798 1.615 3.659
Pr 0.000 0.000 0.000
CELL_PARAMETERS angstrom
5.596 0.000 0.000
-2.798 4.846 0.000
0.000 0.000 7.317

! YAgPt2, relaxed, DFT PBE-GGA; values from VASP
! Symmetry   No. 122
! M_tot   0.00 μB/f.u.
! E   -5.6835 eV/atom
&SYSTEM
  ibrav = 0, nat = 8, ntyp = 3
/
ATOMIC_SPECIES
Pt 195.08 Pt.upf
Y 88.91 Y.upf
Ag 107.87 Ag.upf
ATOMIC_POSITIONS angstrom
Pt 3.119 3.035 7.065
Pt 0.956 3.119 2.355
Pt 3.202 1.040 2.355
Pt 5.198 5.282 7.065
Y 2.079 2.079 0.000
Y 2.079 4.158 4.710
Ag 4.158 2.079 4.710
Ag 0.000 0.000 0.000
CELL_PARAMETERS angstrom
4.158 0.000 0.000
0.000 4.158 0.000
2.079 2.079 9.420

! RbH4Br2N, relaxed, DFT PBE-GGA; values from VASP
! Symmetry   No. 70
! M_tot   0.00 μB/f.u.
! E   -4.0943 eV/atom
&SYSTEM
  ibrav = 0, nat = 16, ntyp = 4
/
ATOMIC_SPECIES
Rb 85.47 Rb.upf
H 1.01 H.upf
N 14.01 N.upf
Br 79.90 Br.upf
ATOMIC_POSITIONS angstrom
Rb 0.000 0.000 0.000
Rb -12.767 0.712 -1.595
H -8.942 0.348 0.420
H -10.251 4.472 -0.688
H -8.880 1.939 -0.110
H -7.463 1.040 -0.075
H -8.173 1.491 1.377
H -9.788 -2.432 -0.008
H -5.304 -0.328 -1.521
H -16.921 2.123 -0.168
N -4.402 -0.492 -1.999
N -8.365 1.205 0.403
Br -5.354 2.512 -0.642
Br -9.317 4.209 1.760
Br -7.413 -1.799 -0.954
Br -9.814 2.202 -2.558
CELL_PARAMETERS angstrom
-8.804 -0.985 -3.997
-5.963 -2.796 2.007
-6.364 5.698 0.798

! Ac2Tb2Cd15, relaxed, DFT PBE-GGA; values from VASP
! Symmetry   No. 166
! M_tot   0.00 μB/f.u.
! E   -1.8245 eV/atom
&SYSTEM
  ibrav = 0, nat = 19, ntyp = 3
/
ATOMIC_SPECIES
Cd 112.41 Cd.upf
Tb 158.93 Tb.upf
Ac 227.00 Ac.upf
ATOMIC_POSITIONS angstrom
Cd 3.167 5.630 0.148
Cd 6.004 1.959 5.079
Cd 0.599 0.526 3.902
Cd 3.981 0.083 0.074
Cd 4.354 7.132 3.022
Cd 3.167 0.794 5.576
Cd 2.721 5.700 5.079
Cd 5.993 0.424 2.377
Cd 7.637 3.391 3.022
Cd 1.198 3.037 5.576
Cd 5.993 2.410 0.148
Cd 4.354 3.821 6.738
Cd 6.004 5.270 1.363
Cd 1.198 5.887 2.377
Cd 0.599 3.937 0.074
Tb 9.355 8.211 7.316
Tb 1.003 0.880 0.784
Ac 3.474 3.049 2.717
Ac 6.884 6.042 5.384
CELL_PARAMETERS angstrom
7.962 0.166 0.148
1.198 7.873 0.148
1.198 1.051 7.804

! ThCuIr, relaxed, DFT PBE-GGA; values from VASP
! Symmetry   No. 12
! M_tot   0.00 μB/f.u.
! Energy above the lowest structure with this stoichiometry   0.0 meV/atom
&SYSTEM
  ibrav = 0, nat = 6, ntyp = 3
/
ATOMIC_SPECIES
Cu 63.55 Cu.upf
Th 232.04 Th.upf
Ir 192.22 Ir.upf
ATOMIC_POSITIONS angstrom
Cu 4.096 1.298 0.472
Cu 4.096 4.337 5.611
Th 4.096 1.418 4.126
Th 4.096 4.217 1.957
Ir 6.143 3.654 4.172
Ir 2.048 1.980 1.912
CELL_PARAMETERS angstrom
4.096 0.000 0.000
2.048 5.043 0.219
2.048 0.591 5.864

! PaAl2GaGe, relaxed, DFT PBE-GGA; values from VASP
! Symmetry   No. 63
! M_tot   0.00 μB/f.u.
! E   -5.0432 eV/atom
&SYSTEM
  ibrav = 0, nat = 10, ntyp = 4
/
ATOMIC_SPECIES
Al 26.98 Al.upf
Ge 72.64 Ge.upf
Pa 231.04 Pa.upf
Ga 69.72 Ga.upf
ATOMIC_POSITIONS angstrom
Al 2.052 3.774 0.535
Al 0.000 2.364 7.546
Al 0.000 2.364 4.576
Al 2.052 3.774 3.505
Ge 0.000 0.000 4.040
Ge 0.000 0.000 0.000
Pa 0.000 5.312 6.061
Pa 2.052 0.827 2.020
Ga 2.052 2.949 6.061
Ga 0.000 3.189 2.020
CELL_PARAMETERS angstrom
4.104 0.000 0.000
-2.052 6.138 0.000
0.000 0.000 8.081

! Be2AlAg2Au5, relaxed, DFT PBE-GGA; values from VASP
! Symmetry   No. 127
! M_tot   0.00 μB/f.u.
! E   -3.4687 eV/atom
&SYSTEM
  ibrav = 0, nat = 20, ntyp = 4
/
ATOMIC_SPECIES
Be 9.01 Be.upf
Ag 107.87 Ag.upf
Au 196.97 Au.upf
Al 26.98 Al.upf
ATOMIC_POSITIONS angstrom
Be -1.859 -1.760 2.949
Be 0.962 -3.261 10.076
Be -3.849 -4.151 7.513
Be 2.952 -0.871 5.512
Ag -3.671 -3.155 4.931
Ag 0.748 -0.955 3.439
Ag 2.774 -1.866 8.094
Ag -1.646 -4.067 9.586
Au -0.439 -2.605 11.930
Au 3.838 0.757 7.059
Au -4.061 -0.815 3.162
Au 2.516 1.216 4.398
Au 0.866 -0.161 6.500
Au -1.757 -0.640 5.085
Au -0.236 -1.470 8.987
Au -5.832 -2.867 7.014
Au -1.555 0.495 2.143
Au -2.860 -1.949 7.572
Al -0.449 -2.511 6.513
Al 0.000 0.000 0.000
CELL_PARAMETERS angstrom
-1.096 2.912 1.047
-7.026 -4.542 5.276
6.129 -0.479 7.749

! TaZn4N4, relaxed, DFT PBE-GGA; values from VASP
! Symmetry   No. 63
! M_tot   0.00 μB/f.u.
! Formation energy from raw total energies   -0.1238 eV per atom
&SYSTEM
  ibrav = 0, nat = 18, ntyp = 3
/
ATOMIC_SPECIES
N 14.01 N.upf
Ta 180.95 Ta.upf
Zn 65.41 Zn.upf
ATOMIC_POSITIONS angstrom
N 4.391 4.831 6.655
N 1.073 1.180 3.322
N 3.765 1.711 4.998
N 4.391 4.831 3.342
N 1.699 4.299 1.666
N 1.346 3.911 4.998
N 1.073 1.180 0.010
N 4.118 2.100 1.666
Ta 1.784 1.962 4.998
Ta 3.680 4.048 1.666
Zn 4.901 3.489 4.998
Zn 0.641 4.906 3.332
Zn 4.823 1.105 3.332
Zn 4.823 1.105 0.000
Zn 3.008 5.210 4.998
Zn 0.564 2.521 1.666
Zn 2.456 0.801 1.666
Zn 0.641 4.906 0.000
CELL_PARAMETERS angstrom
5.874 0.149 0.000
-0.410 5.861 0.000
0.000 0.000 6.664

! NdTm3S, relaxed, DFT PBE-GGA; values from VASP
! Symmetry   No. 221
! M_tot   0.86 μB/f.u.
! Formation energy from raw total energies   -0.6224 eV per atom
&SYSTEM
  ibrav = 0, nat = 5, ntyp = 3
/
ATOMIC_SPECIES
S 32.06 S.upf
Tm 168.93 Tm.upf
Nd 144.24 Nd.upf
ATOMIC_POSITIONS angstrom
S 0.000 0.000 0.000
Tm 2.187 -1.436 -0.265
Tm -0.594 -1.310 2.201
Tm -1.334 -1.771 -1.414
Nd 0.259 -4.517 0.523
CELL_PARAMETERS angstrom
-2.668 -3.542 -2.828
4.374 -2.872 -0.529
-1.188 -2.620 4.403

! Y3ZrTc, relaxed, DFT PBE-GGA; values from VASP
! Symmetry   No. 221
! M_tot   3.28 μB/f.u.
! Energy above the lowest structure with this stoichiometry   883.4 meV/atom
&SYSTEM
  ibrav = 0, nat = 5, ntyp = 3
/
ATOMIC_SPECIES
Zr 91.22 Zr.upf
Tc 98.00 Tc.upf
Y 88.91 Y.upf
ATOMIC_POSITIONS angstrom
Zr 0.000 0.000 0.000
Tc 2.701 2.701 2.701
Y 0.000 0.000 2.701
Y 0.000 2.701 0.000
Y 2.701 0.000 0.000
CELL_PARAMETERS angstrom
5.402 0.000 0.000
0.000 5.402 0.000
0.000 0.000 5.402

! Ce2Zn3Ge6, relaxed, DFT PBE-GGA; values from VASP
! Symmetry   No. 63
! M_tot   1.22 μB/f.u.
! E   -4.3360 eV/atom
&SYSTEM
  ibrav = 0, nat = 22, ntyp = 3
/
ATOMIC_SPECIES
Ce 140.12 Ce.upf
Zn 65.41 Zn.upf
Ge 72.64 Ge.upf
ATOMIC_POSITIONS angstrom
Ce 9.991 0.620 1.495
Ce -1.780 3.520 4.485
Ce -8.559 5.191 4.485
Ce 3.211 2.291 1.495
Zn -3.067 3.838 1.495
Zn 4.499 1.973 4.485
Zn 0.331 1.345 2.990
Zn 1.101 4.466 0.000
Zn 1.101 4.466 2.990
Zn 0.331 1.345 0.000
Ge -4.401 2.419 5.778
Ge 5.833 3.392 0.203
Ge -3.589 5.714 5.778
Ge -4.401 2.419 3.193
Ge 5.021 0.097 2.788
Ge -3.589 5.714 3.193
Ge -9.370 5.391 1.495
Ge -0.640 3.240 1.495
Ge 2.072 2.571 4.485
Ge 5.833 3.392 2.788
Ge 5.021 0.097 0.203
Ge 10.802 0.420 4.485
CELL_PARAMETERS angstrom
12.504 0.001 0.000
-11.072 5.810 0.000
0.000 0.000 5.981

! KTbPu2Te4, relaxed, DFT PBE-GGA; values from VASP
! Symmetry   No. 10
! M_tot   11.74 μB/f.u.
! Formation energy from raw total energies   -1.1572 eV per atom
&SYSTEM
  ibrav = 0, nat = 8, ntyp = 4
/
ATOMIC_SPECIES
K 39.10 K.upf
Te 127.60 Te.upf
Pu 244.00 Pu.upf
Tb 158.93 Tb.upf
ATOMIC_POSITIONS angstrom
K -1.082 -2.989 -3.190
Te -0.826 -5.384 -0.924
Te 4.897 -5.434 -6.134
Te 3.418 -5.943 -1.832
Te 0.653 -4.874 -5.225
Pu 1.816 -4.167 0.170
Pu 6.234 -4.839 -0.679
Tb 3.337 -3.661 -4.038
CELL_PARAMETERS angstrom
-2.602 -3.495 1.019
0.439 -2.484 -7.398
6.234 -4.839 -0.679

! Tb4CoSb, relaxed, DFT PBE-GGA; values from VASP
! Symmetry   No. 11
! M_tot   0.00 μB/f.u.
! Formation energy from raw total energies   -0.4608 eV per atom
! Energy above the lowest structure with this stoichiometry   0.0 meV/atom
&SYSTEM
  ibrav = 0, nat = 12, ntyp = 3
/
ATOMIC_SPECIES
Tb 158.93 Tb.upf
Sb 121.76 Sb.upf
Co 58.93 Co.upf
ATOMIC_POSITIONS angstrom
Tb 5.008 -4.587 -0.942
Tb 6.919 -6.030 1.745
Tb 3.003 -1.611 -4.426
Tb -0.306 -1.672 -4.157
Tb 1.605 -3.115 -1.470
Tb 1.726 -6.969 -0.854
Tb 3.611 -6.091 2.014
Tb 4.887 -0.733 -1.559
Sb 1.502 -0.017 -2.037
Sb 5.112 -7.685 -0.375
Co 1.805 -4.688 0.631
Co 4.809 -3.014 -3.043
CELL_PARAMETERS angstrom
-0.506 1.044 -5.990
6.621 0.122 -0.538
0.498 -8.868 4.116

! LiHI2N, relaxed, DFT PBE-GGA; values from VASP
! Symmetry   No. 123
! M_tot   1.91 μB/f.u.
! Energy above the lowest structure with this stoichiometry   0.0 meV/atom
&SYSTEM
  ibrav = 0, nat = 5, ntyp = 4
/
ATOMIC_SPECIES
I 126.90 I.upf
N 14.01 N.upf
H 1.01 H.upf
Li 6.94 Li.upf
ATOMIC_POSITIONS angstrom
I 0.000 0.000 2.966
I 2.966 0.000 0.000
N 0.000 1.544 0.000
H 0.000 0.000 0.000
Li 2.966 1.544 2.966
CELL_PARAMETERS angstrom
5.933 0.000 0.000
0.000 3.088 0.000
0.000 0.000 5.933

! AlCoCBr2, relaxed, DFT PBE-GGA; values from VASP
! Symmetry   No. 123
! M_tot   2.14 μB/f.u.
! Formation energy from raw total energies   1.0741 eV per atom
&SYSTEM
  ibrav = 0, nat = 5, ntyp = 4
/
ATOMIC_SPECIES
Br 79.90 Br.upf
Co 58.93 Co.upf
C 12.01 C.upf
Al 26.98 Al.upf
ATOMIC_POSITIONS angstrom
Br -2.029 0.559 1.582
Br -0.204 -2.546 0.639
Co -1.050 -1.724 3.646
C 1.183 0.263 1.425
Al 0.000 0.000 0.000
CELL_PARAMETERS angstrom
-0.408 -5.093 1.277
2.366 0.525 2.850
-4.058 1.118 3.164

! BeRe2Sb, relaxed, DFT PBE-GGA; values from VASP
! Symmetry   No. 10
! M_tot   0.00 μB/f.u.
! Formation energy from raw total energies   0.4789 eV per atom
! Energy above the lowest structure with this stoichiometry   303.4 meV/atom
&SYSTEM
  ibrav = 0, nat = 4, ntyp = 3
/
ATOMIC_SPECIES
Re 186.21 Re.upf
Sb 121.76 Sb.upf
Be 9.01 Be.upf
ATOMIC_POSITIONS angstrom
Re -3.150 -3.312 4.914
Re -1.702 -2.101 2.925
Sb -1.644 -2.017 0.020
Be -3.261 -3.821 2.633
CELL_PARAMETERS angstrom
-1.671 -2.229 -2.573
0.827 -2.432 1.570
-4.061 -1.177 3.657

! Cd3SnSe, relaxed, DFT PBE-GGA; values from VASP
! Symmetry   No. 221
! M_tot   0.00 μB/f.u.
! Formation energy from raw total energies   0.3151 eV per atom
! Energy above the lowest structure with this stoichiometry   0.0 meV/atom
&SYSTEM
  ibrav = 0, nat = 5, ntyp = 3
/
ATOMIC_SPECIES
Se 78.96 Se.upf
Cd 112.41 Cd.upf
Sn 118.71 Sn.upf
ATOMIC_POSITIONS angstrom
Se 2.788 -3.768 0.401
Cd 0.256 -1.531 2.229
Cd -0.167 -2.244 -1.522
Cd 2.699 0.006 -0.306
Sn 0.000 0.000 0.000
CELL_PARAMETERS angstrom
-0.335 -4.488 -3.043
5.398 0.013 -0.612
0.513 -3.062 4.458

! ZrTe4Rh, relaxed, DFT PBE-GGA; values from VASP
! Symmetry   No. 216
! M_tot   0.00 μB/f.u.
! Formation energy from raw total energies   0.8227 eV per atom
! Energy above the lowest structure with this stoichiometry   1348.9 meV/atom
&SYSTEM
  ibrav = 0, nat = 6, ntyp = 3
/
ATOMIC_SPECIES
Te 127.60 Te.upf
Zr 91.22 Zr.upf
Rh 102.91 Rh.upf
ATOMIC_POSITIONS angstrom
Te -7.804 -1.601 -2.054
Te -6.352 -2.634 -4.517
Te -4.790 -1.991 -1.990
Te -6.634 -4.406 -2.064
Zr -9.592 -3.987 -3.984
Rh 0.000 0.000 0.000
CELL_PARAMETERS angstrom
-3.673 -4.813 -0.148
-6.005 0.777 -0.129
-3.112 -1.281 -5.035